VASP calculation (PBE) on a geometry-optimized Ca4TlRh structure.

abc: 9.145 13.668 6.211
angles: 90.00 111.38 90.00
Space group C2/c (No. 15)
Symmetry-distinct sites (fractional):
Ca (0.111, 0.167, 0.061) (multiplicity 8)
Ca (0.217, 0.427, 0.352) (multiplicity 8)
Tl (0.000, 0.369, 0.750) (multiplicity 4)
Rh (0.000, 0.001, 0.250) (multiplicity 4)

Summary:
For the magnetic moment, the calculation gives 0.00 μB/f.u. The density of states at the Fermi level comes out at 10.30 states/eV/cell. The formation energy is -0.38 eV per atom.